No. 1
CsCdAg2Cl4 | GGA-PBE | relaxed

## Properties
The space group is No. 121. Its uncorrected formation energy is -76.6 kJ per mole of atoms. Its crystal system is tetragonal. For the density of states at the Fermi level, the calculation gives 1.7 states/eV/cell.

abc: 7.289 7.289 7.007
angles: 121.33 121.33 90.01
Fractional positions:
Cs (0.000, 0.000, 0.000)
Cl (0.524, 0.524, 0.647)
Cl (0.123, 0.123, 0.647)
Cl (0.877, 0.476, 0.353)
Cl (0.476, 0.877, 0.353)
Ag (0.750, 0.250, 0.500)
Ag (0.250, 0.750, 0.500)
Cd (0.500, 0.500, 0.000)



No. 2
Ti2AlTcC | GGA-PBE | relaxed

## Properties
The space group is No. 123. Its crystal system is tetragonal. As for the formation energy: -2.16 eV per formula unit. For the density of states at the Fermi level, the calculation gives 5.3 states/eV/cell.

abc: 4.185 4.185 4.037
angles: 90.00 90.00 90.00
Fractional positions:
Tc (0.000, 0.000, 0.500)
Ti (0.000, 0.500, 0.000)
Ti (0.500, 0.000, 0.000)
C (0.000, 0.000, 0.000)
Al (0.500, 0.500, 0.500)



No. 3
NaSr2Hg6 | GGA-PBE | relaxed

## Properties
The space group is No. 12. Its crystal system is monoclinic. Its distance to the lowest polymorph of the same formula is 0.041 eV/atom. As for the formation energy: -3.15 eV per formula unit. For the density of states at the Fermi level, the calculation gives 5.8 states/eV/cell.

abc: 6.182 6.965 6.965
angles: 59.90 89.94 89.94
Fractional positions:
Na (0.000, 0.000, 0.000)
Hg (0.323, 0.363, 0.819)
Hg (0.677, 0.181, 0.637)
Hg (0.678, 0.182, 0.182)
Hg (0.322, 0.818, 0.818)
Hg (0.323, 0.819, 0.363)
Hg (0.677, 0.637, 0.181)
Sr (0.163, 0.333, 0.333)
Sr (0.837, 0.667, 0.667)